Compound: LiSiF5
Source: Alexandria via LeMat-Bulk
Functional: GGA-PBE
Structure: relaxed

Cell: 5.4507 5.4507 7.0208 Å, 105.48 105.48 100.33°
With the nearest neighbours (Å) after each atom.
Element x y z (fractional)
1 Li 0.1560 0.8440 0.7500  4 F 1.88-1.90
2 Li 0.8440 0.1560 0.2500  4 F 1.88-1.90
3 Si 0.5000 0.5000 0.0000  6 F 1.67-1.81
4 Si 0.5000 0.5000 0.5000  6 F 1.67-1.81
5 F 0.2075 0.2704 0.4017  1 Si 1.68, 1 Li 1.88
6 F 0.2643 0.6485 0.9286  1 Si 1.67
7 F 0.2704 0.2075 0.9017  1 Si 1.68, 1 Li 1.88
8 F 0.3515 0.7357 0.5714  1 Si 1.67
9 F 0.4454 0.5546 0.2500  2 Si 1.81
10 F 0.5546 0.4454 0.7500  2 Si 1.81
11 F 0.6485 0.2643 0.4286  1 Si 1.67
12 F 0.7296 0.7925 0.0983  1 Si 1.68, 1 Li 1.88
13 F 0.7357 0.3515 0.0714  1 Si 1.67
14 F 0.7925 0.7296 0.5983  1 Si 1.68, 1 Li 1.88

crystal system	monoclinic
formation energy without anion corrections	-3.092	eV/atom
DOS at the Fermi energy	0.000	states/eV/atom
energy relative to the lowest polymorph listed for this composition	0.00	eV per formula unit
size of the total moment	0.00	μB per cell